Record 1
AlSi2HgS: optimized geometry, PBE.

a b c (Å): 5.008 5.188 5.008
angles (deg): 90.00 90.00 90.00
Fractional coordinates of all 5 atoms:
S: 0.000 0.500 0.000
Si: 0.000 0.000 0.500
Si: 0.500 0.000 0.000
Hg: 0.000 0.000 0.000
Al: 0.500 0.500 0.500

**Raw formation energy**: 1.1937 eV per atom

***

Record 2
Nd2ScTl9: optimized geometry, PBE.

a b c (Å): 4.792 4.792 14.310
angles (deg): 90.00 90.00 90.00
Fractional coordinates of all 12 atoms:
Nd: 0.000 0.000 0.329
Nd: 0.000 0.000 0.671
Sc: 0.000 0.000 0.000
Tl: 0.500 0.500 0.000
Tl: 0.500 0.500 0.331
Tl: 0.500 0.500 0.669
Tl: 0.500 0.000 0.159
Tl: 0.500 0.000 0.500
Tl: 0.500 0.000 0.841
Tl: 0.000 0.500 0.159
Tl: 0.000 0.500 0.500
Tl: 0.000 0.500 0.841

**Energy**: -40.07 eV per cell

***

Record 3
Nd3S3N: optimized geometry, PBE.

a b c (Å): 4.027 12.329 13.192
angles (deg): 90.00 90.00 90.00
Fractional coordinates of all 28 atoms:
Nd: 0.750 0.782 0.865
Nd: 0.750 0.956 0.148
Nd: 0.250 0.044 0.852
Nd: 0.250 0.218 0.135
Nd: 0.250 0.577 0.129
Nd: 0.250 0.544 0.648
Nd: 0.750 0.282 0.635
Nd: 0.250 0.718 0.365
Nd: 0.750 0.423 0.871
Nd: 0.250 0.077 0.371
Nd: 0.750 0.456 0.352
Nd: 0.750 0.923 0.629
S: 0.750 0.727 0.195
S: 0.250 0.773 0.695
S: 0.750 0.227 0.305
S: 0.750 0.414 0.107
S: 0.750 0.636 0.494
S: 0.750 0.136 0.006
S: 0.250 0.364 0.506
S: 0.250 0.086 0.607
S: 0.750 0.914 0.393
S: 0.250 0.864 0.994
S: 0.250 0.273 0.805
S: 0.250 0.586 0.893
N: 0.250 0.542 0.298
N: 0.250 0.042 0.202
N: 0.750 0.958 0.798
N: 0.750 0.458 0.702

**Raw formation energy**: -1.9142 eV per atom